<w>
This record from OQMD describes a relaxed structure of NaZrGeIr. The functional is PBE-GGA.

Crystal system = cubic
Space-group type = No. 216

a b c (Å): 6.599 6.599 6.599
angles (deg): 90.00 90.00 90.00
Positions (direct):
Na  0.000  0.000  0.000
Na  0.000  0.500  0.500
Na  0.500  0.000  0.500
Na  0.500  0.500  0.000
Zr  0.000  0.000  0.500
Zr  0.000  0.500  0.000
Zr  0.500  0.000  0.000
Zr  0.500  0.500  0.500
Ge  0.250  0.250  0.750
Ge  0.250  0.750  0.250
Ge  0.750  0.250  0.250
Ge  0.750  0.750  0.750
Ir  0.250  0.250  0.250
Ir  0.250  0.750  0.750
Ir  0.750  0.250  0.750
Ir  0.750  0.750  0.250

<x>
This record from OQMD describes a relaxed structure of NaZrGeIr. The functional is PBE-GGA.

Crystal system = cubic
Space-group type = No. 216

a b c (Å): 6.457 6.457 6.457
angles (deg): 90.00 90.00 90.00
Positions (direct):
Na  0.000  0.000  0.000
Na  0.000  0.500  0.500
Na  0.500  0.000  0.500
Na  0.500  0.500  0.000
Zr  0.250  0.250  0.750
Zr  0.250  0.750  0.250
Zr  0.750  0.250  0.250
Zr  0.750  0.750  0.750
Ge  0.250  0.250  0.250
Ge  0.250  0.750  0.750
Ge  0.750  0.250  0.750
Ge  0.750  0.750  0.250
Ir  0.000  0.000  0.500
Ir  0.000  0.500  0.000
Ir  0.500  0.000  0.000
Ir  0.500  0.500  0.500

Energies, relative to the best one, in meV/atom: <w> 209; <x> 0.